Record 1
{"formula": "Ho2SnHg", "functional": "PBE", "state": "relaxed", "magnetic_moment_mub_per_cell": 0.000, "crystal_system": "trigonal", "total_energy_ev_per_cell": -15.2, "spacegroup": "R-3m (166)", "lattice_angstrom": [[3.7844, 0.0000, 0.0000], [1.8922, 3.2774, 0.0000], [1.8922, 1.0925, 9.0150]], "species": ["Hg", "Ho", "Ho", "Sn"], "fractional_positions": [[0.0000, 0.0000, 0.0000], [0.7498, 0.7498, 0.7506], [0.2502, 0.2502, 0.2494], [0.5000, 0.5000, 0.5000]]}

=====

Record 2
{"formula": "HoSnHg4", "functional": "PBE", "state": "relaxed", "magnetic_moment_mub_per_cell": 0.059, "crystal_system": "tetragonal", "total_energy_ev_per_cell": -10.6, "spacegroup": "P4/mmm (123)", "lattice_angstrom": [[-1.3863, -1.0112, 3.3594], [3.4594, 0.2065, 1.4897], [-1.6357, 10.1793, 2.3900]], "species": ["Hg", "Hg", "Hg", "Hg", "Sn", "Ho"], "fractional_positions": [[0.5000, 0.5000, 0.1740], [0.5000, 0.5000, 0.8260], [0.0000, 0.0000, 0.6651], [0.0000, 0.0000, 0.3349], [0.0000, 0.0000, 0.0000], [0.5000, 0.5000, 0.5000]]}

=====

Record 3
{"formula": "Ho2SnHg", "functional": "PBE", "state": "relaxed", "magnetic_moment_mub_per_cell": 0.000, "crystal_system": "monoclinic", "total_energy_ev_per_cell": -31.5, "spacegroup": "P2_1/m (11)", "lattice_angstrom": [[4.3912, 0.0000, 0.0000], [0.0000, 6.0889, -0.0653], [0.0000, -3.1210, 8.1536]], "species": ["Ho", "Ho", "Ho", "Hg", "Ho", "Sn", "Sn", "Hg"], "fractional_positions": [[0.2500, 0.7721, 0.0688], [0.7500, 0.2206, 0.4298], [0.2500, 0.7794, 0.5702], [0.2500, 0.3130, 0.7008], [0.7500, 0.2279, 0.9312], [0.7500, 0.6734, 0.7931], [0.2500, 0.3266, 0.2069], [0.7500, 0.6870, 0.2992]]}

=====

Record 4
{"formula": "Ho5SnHg4", "functional": "PBE", "state": "relaxed", "magnetic_moment_mub_per_cell": 0.000, "crystal_system": "tetragonal", "total_energy_ev_per_cell": -33.1, "spacegroup": "P4/mmm (123)", "lattice_angstrom": [[-0.7965, -1.0100, 3.4799], [3.6166, -0.0031, 0.8269], [-1.1152, 17.9200, 4.9457]], "species": ["Hg", "Hg", "Ho", "Ho", "Ho", "Sn", "Ho", "Hg", "Ho", "Hg"], "fractional_positions": [[0.0000, 0.0000, 0.6005], [0.0000, 0.0000, 0.3995], [0.5000, 0.5000, 0.3016], [0.5000, 0.5000, 0.1036], [0.5000, 0.5000, 0.8964], [0.0000, 0.0000, 0.0000], [0.5000, 0.5000, 0.6984], [0.0000, 0.0000, 0.7948], [0.5000, 0.5000, 0.5000], [0.0000, 0.0000, 0.2052]]}

=====

Record 5
{"formula": "Ho2SnHg", "functional": "PBE", "state": "relaxed", "magnetic_moment_mub_per_cell": 0.000, "crystal_system": "tetragonal", "total_energy_ev_per_cell": -15.7, "spacegroup": "P4/mmm (123)", "lattice_angstrom": [[3.8934, 0.0000, 0.0000], [0.0000, 5.1610, 0.0000], [0.0000, 0.0000, 5.1610]], "species": ["Sn", "Hg", "Ho", "Ho"], "fractional_positions": [[0.5000, 0.0000, 0.0000], [0.5000, 0.5000, 0.5000], [0.0000, 0.0000, 0.5000], [0.0000, 0.5000, 0.0000]]}

=====

Record 6
{"formula": "Ho8SnHg2", "functional": "PBE", "state": "relaxed", "magnetic_moment_mub_per_cell": 0.001, "crystal_system": "monoclinic", "total_energy_ev_per_cell": -43.4, "spacegroup": "C2/m (12)", "lattice_angstrom": [[-2.0281, 2.3545, -4.4897], [-6.4875, -4.8578, 2.1877], [1.4782, 6.7961, 4.7009]], "species": ["Sn", "Ho", "Ho", "Hg", "Ho", "Ho", "Hg", "Ho", "Ho", "Ho", "Ho"], "fractional_positions": [[0.5000, 0.0000, 0.0000], [0.5000, 0.2253, 0.7747], [0.8894, 0.6772, 0.9080], [0.0000, 0.3055, 0.6945], [0.1106, 0.0920, 0.3228], [0.3003, 0.6031, 0.6031], [0.0000, 0.6945, 0.3055], [0.6997, 0.3969, 0.3969], [0.1106, 0.3228, 0.0920], [0.8894, 0.9080, 0.6772], [0.5000, 0.7747, 0.2253]]}

=====

N(E_F) across the listed records, respectively: 2.7, 3.5, 7.2, 8.0, 3.2, 14.8 states/eV/cell.